Below is crystalline Cs2CoC at its relaxed geometry, with properties calculated at the GGA-PBE level.

## Properties
* theoretical density: 3.6 g/cm3
* formation energy: 1971 meV/atom
* crystal system: cubic
* symmetry: No. 225
* spin magnetization: 5.0 μB per formula unit

abc: 6.033 6.033 6.033
angles: 60.00 60.00 60.00
Site moments in Bohr magnetons follow the coordinates.
Fractional positions:
Cs 0.250 0.250 0.250  0.03
Cs 0.750 0.750 0.750  0.03
C 0.000 0.000 0.000  1.11
Co 0.500 0.500 0.500  2.14